{"formula": "Cs3Pr2MnS6", "functional": "PBE-GGA", "state": "relaxed", "formation_energy_uncorrected_mev_per_atom": -1384, "spacegroup": "C2/m", "volume_a3_per_cell": 359.4, "lattice": [[7.1015, 0.1410, -0.0350], [-3.4269, 6.2216, -0.0350], [-1.2652, -2.1907, 8.0703]], "species": ["S", "S", "S", "Mn", "Pr", "S", "Cs", "Pr", "S", "Cs", "S", "Cs"], "fractional_positions": [[0.2715, 0.2715, 0.7944], [0.9417, 0.6525, 0.8326], [0.0583, 0.3475, 0.1674], [0.0000, 0.0000, 0.0000], [0.3367, 0.6633, 0.0000], [0.6525, 0.9417, 0.8326], [0.5000, 0.5000, 0.5000], [0.6633, 0.3367, 0.0000], [0.7286, 0.7286, 0.2056], [0.1732, 0.8268, 0.5000], [0.3475, 0.0583, 0.1674], [0.8268, 0.1732, 0.5000]]}